CoPdRuF2 after structural relaxation, computed with PBE with a Hubbard U.

a = 3.9610 Å, b = 3.9610 Å, c = 5.4492 Å
α = 90.00°, β = 90.00°, γ = 90.00°
Space group P4/mmm (No. 123)
Unique sites:
1 Co 0.0000 0.0000 0.0000
2 Pd 0.0000 0.0000 0.5000
3 Ru 0.5000 0.5000 0.0000
4 F 0.0000 0.5000 0.5000

Results
total energy	-4.2707	eV per atom